# 1
HgC3F: relaxed, PBEsol.

Values from the calculation:
As for the space group: No. 221. The electronic total energy comes out at -3.107 eV/atom.

a = 3.8484 Å, b = 3.8484 Å, c = 3.8484 Å
α = 90.00°, β = 90.00°, γ = 90.00°
With the nearest neighbours (Å) after each atom.
Element x y z (fractional)
C 0.0000 0.5000 0.0000  2 F 1.92
C 0.0000 0.0000 0.5000  2 F 1.92
C 0.5000 0.0000 0.0000  2 F 1.92
Hg 0.5000 0.5000 0.5000  12 C 2.72
F 0.0000 0.0000 0.0000  6 C 1.92

# 2
Hg3CF: relaxed, PBEsol.

Values from the calculation:
As for the space group: No. 221. The electronic total energy comes out at -2.282 eV/atom.

a = 4.5370 Å, b = 4.5370 Å, c = 4.5370 Å
α = 90.00°, β = 90.00°, γ = 90.00°
With the nearest neighbours (Å) after each atom.
Element x y z (fractional)
Hg 0.0000 0.5000 0.0000  2 C 2.27
Hg 0.5000 0.0000 0.0000  2 C 2.27
C 0.0000 0.0000 0.0000  6 Hg 2.27
F 0.5000 0.5000 0.5000  12 Hg 3.21
Hg 0.0000 0.0000 0.5000  2 C 2.27

# 3
KHgC2F: relaxed, PBEsol.

Values from the calculation:
As for the space group: No. 123. The electronic total energy comes out at -2.493 eV/atom.

a = 4.3617 Å, b = 4.3617 Å, c = 5.0869 Å
α = 90.00°, β = 90.00°, γ = 90.00°
With the nearest neighbours (Å) after each atom.
Element x y z (fractional)
F 0.0000 0.0000 0.0000  4 C 2.18
K 0.5000 0.5000 0.5000  4 Hg 3.08, 8 C 3.35
C 0.5000 0.0000 0.0000  2 F 2.18
Hg 0.0000 0.0000 0.5000  2 F 2.54
C 0.0000 0.5000 0.0000  2 F 2.18

# 4
Ho2CF2: relaxed, PBEsol.

Values from the calculation:
As for the space group: No. 164. The electronic total energy comes out at -7.172 eV/atom.

a = 3.6008 Å, b = 3.6008 Å, c = 6.2670 Å
α = 90.00°, β = 90.00°, γ = 120.00°
With the nearest neighbours (Å) after each atom.
Element x y z (fractional)
Ho 0.6667 0.3333 0.7868  4 F 2.34-2.51, 3 C 2.47
Ho 0.3333 0.6667 0.2132  4 F 2.34-2.51, 3 C 2.47
C 0.0000 0.0000 0.0000  6 Ho 2.47
F 0.3333 0.6667 0.6143  4 Ho 2.34-2.51, 3 F 2.52
F 0.6667 0.3333 0.3857  4 Ho 2.34-2.51, 3 F 2.52

# 5
SrCI2F: relaxed, PBEsol.

Values from the calculation:
As for the space group: No. 123. The electronic total energy comes out at -3.601 eV/atom.

a = 4.6718 Å, b = 4.6718 Å, c = 5.4583 Å
α = 90.00°, β = 90.00°, γ = 90.00°
With the nearest neighbours (Å) after each atom.
Element x y z (fractional)
I 0.0000 0.5000 0.0000  2 C 2.34
F 0.5000 0.5000 0.5000  4 Sr 3.30, 8 I 3.59
I 0.5000 0.0000 0.0000  2 C 2.34
Sr 0.0000 0.0000 0.5000  2 C 2.73
C 0.0000 0.0000 0.0000  4 I 2.34

# 6
InCF3: relaxed, PBEsol.

Values from the calculation:
As for the space group: No. 221. The electronic total energy comes out at -4.052 eV/atom.

a = 4.1683 Å, b = 4.1683 Å, c = 4.1683 Å
α = 90.00°, β = 90.00°, γ = 90.00°
With the nearest neighbours (Å) after each atom.
Element x y z (fractional)
In 0.0000 0.0000 0.0000  6 F 2.08
F 0.0000 0.0000 0.5000  2 In 2.08
F 0.0000 0.5000 0.0000  2 In 2.08
F 0.5000 0.0000 0.0000  2 In 2.08
C 0.5000 0.5000 0.5000  12 F 2.95

# 7
RbInC2F: relaxed, PBEsol.

Values from the calculation:
As for the space group: No. 123. The electronic total energy comes out at -3.051 eV/atom.

a = 4.4090 Å, b = 4.4090 Å, c = 4.6683 Å
α = 90.00°, β = 90.00°, γ = 90.00°
With the nearest neighbours (Å) after each atom.
Element x y z (fractional)
F 0.0000 0.0000 0.0000  4 C 2.20, 2 Rb 2.33
C 0.0000 0.5000 0.0000  2 F 2.20
C 0.5000 0.0000 0.0000  2 F 2.20
Rb 0.0000 0.0000 0.5000  2 F 2.33
In 0.5000 0.5000 0.5000  4 Rb 3.12, 8 C 3.21

# 8
Ir2RhCF: relaxed, PBEsol.

Values from the calculation:
As for the space group: No. 123. The electronic total energy comes out at -5.506 eV/atom.

a = 3.7580 Å, b = 4.6570 Å, c = 4.6570 Å
α = 90.00°, β = 90.00°, γ = 90.00°
With the nearest neighbours (Å) after each atom.
Element x y z (fractional)
F 0.5000 0.0000 0.0000  2 Rh 1.88
C 0.5000 0.5000 0.5000  8 Ir 2.99, 4 F 3.29
Ir 0.0000 0.0000 0.5000  2 Rh 2.33
Ir 0.0000 0.5000 0.0000  2 Rh 2.33
Rh 0.0000 0.0000 0.0000  2 F 1.88

# 9
SbIr2CF: relaxed, PBEsol.

Values from the calculation:
As for the space group: No. 123. The electronic total energy comes out at -7.050 eV/atom.

a = 3.9259 Å, b = 3.9259 Å, c = 4.6345 Å
α = 90.00°, β = 90.00°, γ = 90.00°
With the nearest neighbours (Å) after each atom.
Element x y z (fractional)
F 0.0000 0.0000 0.5000  2 C 2.32
C 0.0000 0.0000 0.0000  4 Ir 1.96
Ir 0.0000 0.5000 0.0000  2 C 1.96
Ir 0.5000 0.0000 0.0000  2 C 1.96
Sb 0.5000 0.5000 0.5000  4 F 2.78, 8 Ir 3.04

# 10
KC2F2: relaxed, PBEsol.

Values from the calculation:
As for the space group: No. 127. The electronic total energy comes out at -4.445 eV/atom.

a = 3.3163 Å, b = 6.6473 Å, c = 6.6473 Å
α = 90.00°, β = 90.00°, γ = 90.00°
With the nearest neighbours (Å) after each atom.
Element x y z (fractional)
C 0.5000 0.0738 0.5738  1 C 1.39
C 0.5000 0.4262 0.0738  1 C 1.39
F 0.0000 0.3760 0.8760  4 C 2.14, 1 F 2.33
K 0.0000 0.0000 0.0000  4 F 2.63
K 0.0000 0.5000 0.5000  4 F 2.63
C 0.5000 0.5738 0.9262  1 C 1.39
F 0.0000 0.1240 0.3760  4 C 2.14, 1 F 2.33
C 0.5000 0.9262 0.4262  1 C 1.39
F 0.0000 0.8760 0.6240  4 C 2.14, 1 F 2.33
F 0.0000 0.6240 0.1240  4 C 2.14, 1 F 2.33

# 11
KCF2: relaxed, PBEsol.

Values from the calculation:
As for the space group: No. 122. The electronic total energy comes out at -3.819 eV/atom.

a = 4.7231 Å, b = 4.7231 Å, c = 6.8340 Å
α = 110.22°, β = 110.22°, γ = 90.00°
With the nearest neighbours (Å) after each atom.
Element x y z (fractional)
C 0.5000 0.5000 0.0000  4 F 2.00
F 0.4971 0.8750 0.2500  2 C 2.00
K 0.0000 0.0000 0.0000  4 F 2.59
F 0.1250 0.2471 0.7500  2 C 2.00
F 0.7529 0.3750 0.2500  2 C 2.00
K 0.2500 0.7500 0.5000  4 F 2.59
C 0.7500 0.2500 0.5000  4 F 2.00
F 0.6250 0.5029 0.7500  2 C 2.00

# 12
KCN2F: relaxed, PBEsol.

Values from the calculation:
As for the space group: No. 123. The electronic total energy comes out at -3.065 eV/atom.

a = 4.7217 Å, b = 6.1801 Å, c = 6.1801 Å
α = 90.00°, β = 90.00°, γ = 90.00°
With the nearest neighbours (Å) after each atom.
Element x y z (fractional)
N 0.0000 0.0000 0.5000  2 K 3.09
F 0.5000 0.0000 0.0000  2 K 2.36
N 0.0000 0.5000 0.0000  2 K 3.09
K 0.0000 0.0000 0.0000  2 F 2.36
C 0.5000 0.5000 0.5000  8 N 3.89

# 13
KCNF2: relaxed, PBEsol.

Values from the calculation:
As for the space group: No. 123. The electronic total energy comes out at -5.448 eV/atom.

a = 2.5211 Å, b = 4.6127 Å, c = 4.6127 Å
α = 90.00°, β = 90.00°, γ = 90.00°
With the nearest neighbours (Å) after each atom.
Element x y z (fractional)
N 0.5000 0.0000 0.0000  2 C 1.26
K 0.5000 0.5000 0.5000  2 K 2.52, 8 F 2.63
F 0.0000 0.0000 0.5000  2 C 2.31, 2 F 2.52
C 0.0000 0.0000 0.0000  2 N 1.26
F 0.0000 0.5000 0.0000  2 C 2.31, 2 F 2.52

# 14
KPb2C2O6F: relaxed, PBEsol.

Values from the calculation:
As for the space group: No. 194. The electronic total energy comes out at -6.791 eV/atom.

a = 5.2720 Å, b = 5.2720 Å, c = 13.8541 Å
α = 90.00°, β = 90.00°, γ = 120.00°
With the nearest neighbours (Å) after each atom.
Element x y z (fractional)
Pb 0.6667 0.3333 0.5807  1 F 2.35
C 0.0000 0.0000 0.8958  3 O 1.30
O 0.2840 0.1420 0.1038  1 C 1.30
C 0.0000 0.0000 0.6042  3 O 1.30
K 0.3333 0.6667 0.7500  6 O 2.67
O 0.8580 0.1420 0.1038  1 C 1.30
O 0.1420 0.2840 0.8962  1 C 1.30
C 0.0000 0.0000 0.3958  3 O 1.30
C 0.0000 0.0000 0.1042  3 O 1.30
O 0.8580 0.7160 0.3962  1 C 1.30
O 0.7160 0.8580 0.8962  1 C 1.30
O 0.2840 0.1420 0.3962  1 C 1.30
K 0.6667 0.3333 0.2500  6 O 2.67
O 0.7160 0.8580 0.6038  1 C 1.30
O 0.1420 0.2840 0.6038  1 C 1.30
O 0.8580 0.7160 0.1038  1 C 1.30
O 0.1420 0.8580 0.6038  1 C 1.30
Pb 0.3333 0.6667 0.4193  1 F 2.35
Pb 0.3333 0.6667 0.0807  1 F 2.35
Pb 0.6667 0.3333 0.9193  1 F 2.35
O 0.1420 0.8580 0.8962  1 C 1.30
F 0.6667 0.3333 0.7500  2 Pb 2.35
O 0.8580 0.1420 0.3962  1 C 1.30
F 0.3333 0.6667 0.2500  2 Pb 2.35

# 15
KSrCO3F: relaxed, PBEsol.

Values from the calculation:
As for the space group: No. 187. The electronic total energy comes out at -6.764 eV/atom.

a = 4.6929 Å, b = 5.2351 Å, c = 5.2351 Å
α = 120.00°, β = 90.00°, γ = 90.00°
With the nearest neighbours (Å) after each atom.
Element x y z (fractional)
O 0.5000 0.8098 0.1902  1 C 1.30
Sr 0.5000 0.3333 0.6667  2 F 2.35, 6 O 2.63
C 0.5000 0.6667 0.3333  3 O 1.30
K 0.0000 0.0000 0.0000  6 O 2.91, 3 F 3.02
F 0.0000 0.3333 0.6667  2 Sr 2.35
O 0.5000 0.8098 0.6196  1 C 1.30
O 0.5000 0.3804 0.1902  1 C 1.30

# 16
La2C2F: relaxed, PBEsol.

Values from the calculation:
As for the space group: No. 127. The electronic total energy comes out at -7.579 eV/atom.

a = 3.4654 Å, b = 6.9418 Å, c = 6.9418 Å
α = 90.00°, β = 90.00°, γ = 90.00°
With the nearest neighbours (Å) after each atom.
Element x y z (fractional)
C 0.5000 0.0705 0.5705  1 C 1.38
La 0.0000 0.8007 0.6993  2 F 2.50, 4 C 2.70
C 0.5000 0.4295 0.0705  1 C 1.38
C 0.5000 0.9295 0.4295  1 C 1.38
La 0.0000 0.3007 0.8007  2 F 2.50, 4 C 2.70
C 0.5000 0.5705 0.9295  1 C 1.38
F 0.0000 0.0000 0.0000  4 La 2.50
La 0.0000 0.6993 0.1993  2 F 2.50, 4 C 2.70
La 0.0000 0.1993 0.3007  2 F 2.50, 4 C 2.70
F 0.0000 0.5000 0.5000  4 La 2.50

# 17
La2C2F: relaxed, PBEsol.

Values from the calculation:
As for the space group: No. 139. The electronic total energy comes out at -6.707 eV/atom.

a = 3.7230 Å, b = 3.7230 Å, c = 7.1162 Å
α = 105.16°, β = 105.16°, γ = 90.00°
With the nearest neighbours (Å) after each atom.
Element x y z (fractional)
La 0.6359 0.6359 0.2719  4 C 2.40
C 0.2500 0.7500 0.5000  4 La 2.40, 4 C 2.63
F 0.0000 0.0000 0.0000  8 La 3.19
La 0.3641 0.3641 0.7281  4 C 2.40
C 0.7500 0.2500 0.5000  4 La 2.40, 4 C 2.63

# 18
LiCN2F: relaxed, PBEsol.

Values from the calculation:
As for the space group: No. 123. The electronic total energy comes out at -3.801 eV/atom.

a = 3.2267 Å, b = 3.9819 Å, c = 3.9819 Å
α = 90.00°, β = 90.00°, γ = 90.00°
With the nearest neighbours (Å) after each atom.
Element x y z (fractional)
N 0.0000 0.5000 0.0000  2 Li 1.99
C 0.5000 0.5000 0.5000  8 N 2.56, 4 F 2.82
N 0.0000 0.0000 0.5000  2 Li 1.99
Li 0.0000 0.0000 0.0000  2 F 1.61
F 0.5000 0.0000 0.0000  2 Li 1.61

# 19
LiCN2F: relaxed, PBEsol.

Values from the calculation:
As for the space group: No. 123. The electronic total energy comes out at -5.729 eV/atom.

a = 2.8855 Å, b = 2.8855 Å, c = 6.0311 Å
α = 90.00°, β = 90.00°, γ = 90.00°
With the nearest neighbours (Å) after each atom.
Element x y z (fractional)
N 0.5000 0.0000 0.0000  2 C 1.44
F 0.0000 0.0000 0.5000  4 Li 2.04
N 0.0000 0.5000 0.0000  2 C 1.44
Li 0.5000 0.5000 0.5000  4 F 2.04
C 0.0000 0.0000 0.0000  4 N 1.44

# 20
LiCNF2: relaxed, PBEsol.

Values from the calculation:
As for the space group: No. 123. The electronic total energy comes out at -5.595 eV/atom.

a = 2.4860 Å, b = 4.2438 Å, c = 4.2438 Å
α = 90.00°, β = 90.00°, γ = 90.00°
With the nearest neighbours (Å) after each atom.
Element x y z (fractional)
C 0.0000 0.0000 0.0000  2 N 1.24
N 0.5000 0.0000 0.0000  2 C 1.24
Li 0.5000 0.5000 0.5000  8 F 2.46, 2 Li 2.49
F 0.0000 0.5000 0.0000  2 C 2.12
F 0.0000 0.0000 0.5000  2 C 2.12